A plane-wave DFT calculation with PBE was carried out for a relaxed structure of KSb5Au3. Values from VASP.

Quantum ESPRESSO input file:
```
&SYSTEM
  ibrav = 0, nat = 9, ntyp = 3
/
ATOMIC_SPECIES
K 39.10 K.upf
Sb 121.76 Sb.upf
Au 196.97 Au.upf
CELL_PARAMETERS angstrom
5.9334 0.0000 0.0000
-2.9667 5.1385 0.0000
0.0000 0.0000 8.4208
ATOMIC_POSITIONS crystal
K 0.0000 0.0000 0.0000
Sb 0.0000 0.0000 0.5000
Sb 0.3333 0.6667 0.2138
Sb 0.3333 0.6667 0.7862
Sb 0.6667 0.3333 0.2138
Sb 0.6667 0.3333 0.7862
Au 0.0000 0.5000 0.5000
Au 0.5000 0.0000 0.5000
Au 0.5000 0.5000 0.5000
```

Calculated values
space group	P6/mmm

***

A plane-wave DFT calculation with PBE was carried out for a relaxed structure of K5Sb2Au2. Values from VASP.

Quantum ESPRESSO input file:
```
&SYSTEM
  ibrav = 0, nat = 9, ntyp = 3
/
ATOMIC_SPECIES
K 39.10 K.upf
Sb 121.76 Sb.upf
Au 196.97 Au.upf
CELL_PARAMETERS angstrom
5.8490 -2.8949 0.0000
5.8490 2.8949 0.0000
-2.7252 0.0000 10.1007
ATOMIC_POSITIONS crystal
K 0.0000 0.0000 0.0000
K 0.1162 0.1162 0.4137
K 0.2431 0.2431 0.8167
K 0.7569 0.7569 0.1833
K 0.8838 0.8838 0.5863
Sb 0.4104 0.4104 0.3528
Sb 0.5896 0.5896 0.6472
Au 0.4640 0.4640 0.1173
Au 0.5360 0.5360 0.8827
```

Calculated values
space group	C2/m

***

Number 1: V 28.53 Å³ per atom, calculated total energy -3.437 eV per atom. Number 2: V 38.01 Å³ per atom, calculated total energy -2.632 eV per atom.